# 1
Below is a geometry-optimized Mg2Ga2Ir structure, with properties calculated at the GGA-PBE level.

Lattice parameters (Å, degrees): 4.202 4.202 22.874 90.00 90.00 90.00
Space group I4_1/amd (No. 141, origin choice 2)
Symmetry-distinct sites (fractional):
Mg 0.000 0.250 0.050
Ga 0.000 0.250 0.183
Ir 0.000 0.250 0.375

=====

# 2
Below is a geometry-optimized Mg2GaIr2 structure, with properties calculated at the GGA-PBE level.

Lattice parameters (Å, degrees): 6.389 6.389 4.207 90.00 90.00 90.00
Space group P4/mbm (No. 127)
Symmetry-distinct sites (fractional):
Mg 0.164 0.336 0.000
Ga 0.000 0.000 0.500
Ir 0.140 0.640 0.500

=====

# 3
Below is a geometry-optimized Mg3Ga2Ir3 structure, with properties calculated at the GGA-PBE level.

Lattice parameters (Å, degrees): 3.685 4.113 16.333 90.00 90.00 90.00
Space group Immm (No. 71)
Symmetry-distinct sites (fractional):
Mg 0.000 0.000 0.000
Mg 0.000 0.500 0.119
Ga 0.000 0.000 0.251
Ir 0.000 0.000 0.500
Ir 0.000 0.500 0.359

=====

# 4
Below is a geometry-optimized MgGa3Ir structure, with properties calculated at the GGA-PBE level.

Lattice parameters (Å, degrees): 5.534 8.515 7.629 90.00 90.00 90.00
Space group Pnma (No. 62)
Symmetry-distinct sites (fractional):
Mg 0.248 0.250 0.126
Ga 0.136 0.058 0.812
Ga 0.236 0.750 0.014
Ir 0.000 0.000 0.500

=====

We obtain magnetization values of 0.0, 0.0, 0.0, 0.0 μB/cell for the records listed above, in that order.
We obtain DOS(E_F) values of 0.43, 0.21, 0.44, 0.31 states/eV/atom for the records listed above, in that order.
We obtain formation energy values of -0.241, -0.473, -0.382, -0.277 eV per atom for the records listed above, in that order.